No. 1
# Zn2MoAu | the Alexandria database | PBE | relaxed
# E above lowest polymorph = 0 meV per atom
# raw total energy = -4.17 eV per atom
# crystal system = orthorhombic
data_Zn2MoAu
_space_group_name_H-M_alt 'C m m m'
_space_group_IT_number 65
_space_group_name_Hall '-C 2 2'
_cell_length_a 3.801
_cell_length_b 3.980
_cell_length_c 8.239
_cell_angle_alpha 90.00
_cell_angle_beta 90.00
_cell_angle_gamma 90.00
loop_
_atom_site_label
_atom_site_type_symbol
_atom_site_fract_x
_atom_site_fract_y
_atom_site_fract_z
_atom_site_occupancy
Zn1 Zn 0.000 0.000 0.245 1
Mo1 Mo 0.000 0.500 0.000 1
Au1 Au 0.000 0.500 0.500 1

No. 2
# ZnMo2Au2 | the Alexandria database | PBE | relaxed
# E above lowest polymorph = 79 meV per atom
# raw total energy = -5.32 eV per atom
# crystal system = tetragonal
data_ZnMo2Au2
_space_group_name_H-M_alt 'I 4/m m m'
_space_group_IT_number 139
_space_group_name_Hall '-I 4 2'
_cell_length_a 3.865
_cell_length_b 3.865
_cell_length_c 12.589
_cell_angle_alpha 90.00
_cell_angle_beta 90.00
_cell_angle_gamma 90.00
loop_
_atom_site_label
_atom_site_type_symbol
_atom_site_fract_x
_atom_site_fract_y
_atom_site_fract_z
_atom_site_occupancy
Zn1 Zn 0.000 0.000 0.000 1
Mo1 Mo 0.000 0.000 0.413 1
Au1 Au 0.000 0.500 0.250 1

No. 3
# Zn2MoAu | the Alexandria database | PBE | relaxed
# E above lowest polymorph = 103 meV per atom
# raw total energy = -4.07 eV per atom
# crystal system = monoclinic
data_Zn2MoAu
_space_group_name_H-M_alt 'P 1 2/m 1'
_space_group_IT_number 10
_space_group_name_Hall '-P 2y'
_cell_length_a 2.711
_cell_length_b 4.331
_cell_length_c 5.438
_cell_angle_alpha 90.00
_cell_angle_beta 92.24
_cell_angle_gamma 90.00
loop_
_atom_site_label
_atom_site_type_symbol
_atom_site_fract_x
_atom_site_fract_y
_atom_site_fract_z
_atom_site_occupancy
Zn1 Zn 0.050 0.000 0.226 1
Mo1 Mo 0.500 0.500 0.000 1
Au1 Au 0.000 0.500 0.500 1

No. 4
# Zn2MoAu | the Alexandria database | PBE | relaxed
# E above lowest polymorph = 226 meV per atom
# raw total energy = -3.95 eV per atom
# crystal system = tetragonal
data_Zn2MoAu
_space_group_name_H-M_alt 'I -4 m 2'
_space_group_IT_number 119
_space_group_name_Hall 'I -4 -2'
_cell_length_a 3.896
_cell_length_b 3.896
_cell_length_c 8.317
_cell_angle_alpha 90.00
_cell_angle_beta 90.00
_cell_angle_gamma 90.00
loop_
_atom_site_label
_atom_site_type_symbol
_atom_site_fract_x
_atom_site_fract_y
_atom_site_fract_z
_atom_site_occupancy
Zn1 Zn 0.000 0.000 0.000 1
Zn2 Zn 0.000 0.500 0.250 1
Mo1 Mo 0.000 0.000 0.500 1
Au1 Au 0.000 0.500 0.750 1

No. 5
# ZnMo2Au2 | the Alexandria database | PBE | relaxed
# E above lowest polymorph = 0 meV per atom
# raw total energy = -5.40 eV per atom
# crystal system = tetragonal
data_ZnMo2Au2
_space_group_name_H-M_alt 'P 4/m b m'
_space_group_IT_number 127
_space_group_name_Hall '-P 4 2ab'
_cell_length_a 6.791
_cell_length_b 6.791
_cell_length_c 3.928
_cell_angle_alpha 90.00
_cell_angle_beta 90.00
_cell_angle_gamma 90.00
loop_
_atom_site_label
_atom_site_type_symbol
_atom_site_fract_x
_atom_site_fract_y
_atom_site_fract_z
_atom_site_occupancy
Zn1 Zn 0.000 0.000 0.000 1
Mo1 Mo 0.120 0.380 0.000 1
Au1 Au 0.178 0.678 0.500 1

No. 6
# Zn2MoAu | the Alexandria database | PBE | relaxed
# E above lowest polymorph = 78 meV per atom
# raw total energy = -4.10 eV per atom
# crystal system = tetragonal
data_Zn2MoAu
_space_group_name_H-M_alt 'P 4/m m m'
_space_group_IT_number 123
_space_group_name_Hall '-P 4 2'
_cell_length_a 4.078
_cell_length_b 4.078
_cell_length_c 3.744
_cell_angle_alpha 90.00
_cell_angle_beta 90.00
_cell_angle_gamma 90.00
loop_
_atom_site_label
_atom_site_type_symbol
_atom_site_fract_x
_atom_site_fract_y
_atom_site_fract_z
_atom_site_occupancy
Zn1 Zn 0.000 0.500 0.000 1
Mo1 Mo 0.000 0.000 0.500 1
Au1 Au 0.500 0.500 0.500 1

No. 7
# Zn2Mo2Au | the Alexandria database | PBE | relaxed
# raw total energy = -5.12 eV per atom
# crystal system = tetragonal
data_Zn2Mo2Au
_space_group_name_H-M_alt 'P 4/m b m'
_space_group_IT_number 127
_space_group_name_Hall '-P 4 2ab'
_cell_length_a 6.512
_cell_length_b 6.512
_cell_length_c 3.686
_cell_angle_alpha 90.00
_cell_angle_beta 90.00
_cell_angle_gamma 90.00
loop_
_atom_site_label
_atom_site_type_symbol
_atom_site_fract_x
_atom_site_fract_y
_atom_site_fract_z
_atom_site_occupancy
Zn1 Zn 0.130 0.370 0.000 1
Mo1 Mo 0.169 0.669 0.500 1
Au1 Au 0.000 0.000 0.000 1

No. 8
# Zn2MoAu | the Alexandria database | PBE | relaxed
# E above lowest polymorph = 146 meV per atom
# raw total energy = -4.03 eV per atom
# crystal system = orthorhombic
data_Zn2MoAu
_space_group_name_H-M_alt 'P m m 2'
_space_group_IT_number 25
_space_group_name_Hall 'P 2 -2'
_cell_length_a 2.776
_cell_length_b 3.911
_cell_length_c 5.773
_cell_angle_alpha 90.00
_cell_angle_beta 90.00
_cell_angle_gamma 90.00
loop_
_atom_site_label
_atom_site_type_symbol
_atom_site_fract_x
_atom_site_fract_y
_atom_site_fract_z
_atom_site_occupancy
Zn1 Zn 0.000 0.000 0.000 1
Zn2 Zn 0.500 0.500 0.244 1
Mo1 Mo 0.500 0.500 0.767 1
Au1 Au 0.000 0.000 0.492 1

No. 9
# Zn2MoAu | the Alexandria database | PBE | relaxed
# E above lowest polymorph = 210 meV per atom
# raw total energy = -3.96 eV per atom
# crystal system = cubic
data_Zn2MoAu
_space_group_name_H-M_alt 'F m -3 m'
_space_group_IT_number 225
_space_group_name_Hall '-F 4 2 3'
_cell_length_a 6.293
_cell_length_b 6.293
_cell_length_c 6.293
_cell_angle_alpha 90.00
_cell_angle_beta 90.00
_cell_angle_gamma 90.00
loop_
_atom_site_label
_atom_site_type_symbol
_atom_site_fract_x
_atom_site_fract_y
_atom_site_fract_z
_atom_site_occupancy
Zn1 Zn 0.250 0.250 0.250 1
Mo1 Mo 0.000 0.000 0.000 1
Au1 Au 0.000 0.000 0.500 1

No. 10
# Zn2MoAu | the Alexandria database | PBE | relaxed
# E above lowest polymorph = 82 meV per atom
# raw total energy = -4.09 eV per atom
# crystal system = orthorhombic
data_Zn2MoAu
_space_group_name_H-M_alt 'C m m 2'
_space_group_IT_number 35
_space_group_name_Hall 'C 2 -2'
_cell_length_a 3.833
_cell_length_b 3.937
_cell_length_c 8.301
_cell_angle_alpha 90.00
_cell_angle_beta 90.00
_cell_angle_gamma 90.00
loop_
_atom_site_label
_atom_site_type_symbol
_atom_site_fract_x
_atom_site_fract_y
_atom_site_fract_z
_atom_site_occupancy
Zn1 Zn 0.000 0.000 0.000 1
Zn2 Zn 0.000 0.500 0.240 1
Mo1 Mo 0.000 0.500 0.757 1
Au1 Au 0.000 0.000 0.493 1

No. 11
# ZnMoAu3 | the Alexandria database | PBE | relaxed
# E above lowest polymorph = 253 meV per atom
# raw total energy = -3.22 eV per atom
# crystal system = cubic
data_ZnMoAu3
_space_group_name_H-M_alt 'P m -3 m'
_space_group_IT_number 221
_space_group_name_Hall '-P 4 2 3'
_cell_length_a 5.075
_cell_length_b 5.075
_cell_length_c 5.075
_cell_angle_alpha 90.00
_cell_angle_beta 90.00
_cell_angle_gamma 90.00
loop_
_atom_site_label
_atom_site_type_symbol
_atom_site_fract_x
_atom_site_fract_y
_atom_site_fract_z
_atom_site_occupancy
Zn1 Zn 0.000 0.000 0.000 1
Mo1 Mo 0.500 0.500 0.500 1
Au1 Au 0.000 0.500 0.500 1

No. 12
# ZrZnMo2Au | the Alexandria database | PBE | relaxed
# raw total energy = -5.22 eV per atom
# crystal system = tetragonal
data_ZrZnMo2Au
_space_group_name_H-M_alt 'P 4/m m m'
_space_group_IT_number 123
_space_group_name_Hall '-P 4 2'
_cell_length_a 4.808
_cell_length_b 4.808
_cell_length_c 4.997
_cell_angle_alpha 90.00
_cell_angle_beta 90.00
_cell_angle_gamma 90.00
loop_
_atom_site_label
_atom_site_type_symbol
_atom_site_fract_x
_atom_site_fract_y
_atom_site_fract_z
_atom_site_occupancy
Zr1 Zr 0.000 0.000 0.000 1
Zn1 Zn 0.000 0.000 0.500 1
Mo1 Mo 0.000 0.500 0.000 1
Au1 Au 0.500 0.500 0.500 1

Number 1: energy relative to the elements -10 meV/atom. Number 2: energy relative to the elements 580 meV/atom. Number 3: energy relative to the elements 93 meV/atom. Number 4: energy relative to the elements 216 meV/atom. Number 5: energy relative to the elements 501 meV/atom. Number 6: energy relative to the elements 68 meV/atom. Number 7: energy relative to the elements 378 meV/atom. Number 8: energy relative to the elements 136 meV/atom. Number 9: energy relative to the elements 200 meV/atom. Number 10: energy relative to the elements 72 meV/atom. Number 11: energy relative to the elements 1167 meV/atom. Number 12: energy relative to the elements 1735 meV/atom.